15
Lattice="-3.471 -5.111 2.463 0.562 -4.248 -8.024 6.421 -1.322 6.306" Properties=species:S:1:pos:R:3 comment="Ho6Er8In | Alexandria via LeMat-Bulk | PBE-GGA | relaxed" e_tot_ev_per_atom=-4.248 volume_a3_per_atom=31.8 pbc="T T T"
Er -2.799 -5.965 -0.349
Er 1.644 -6.456 3.533
Er 6.312 -4.716 1.095
Er 1.607 -8.351 0.910
Er 4.035 -1.541 4.476
Er 1.905 -2.331 -0.165
Er -0.523 -9.140 -3.730
Er 1.868 -4.225 -2.788
Ho 3.340 -5.490 0.447
Ho 0.173 -5.191 0.298
Ho 4.709 -4.597 4.230
Ho 1.221 -2.895 2.846
Ho -1.197 -6.084 -3.485
Ho 2.292 -7.787 -2.101
In -1.735 -2.556 1.231